(1)
DFT (PBE) results for AuINF2 after structural relaxation.

abc: 4.7070 4.7070 4.0230
angles: 90.00 90.00 90.00
Closest atoms and distances in Å follow each position.
Space group P4/mmm (No. 123)
One atom of each set of equivalent atoms:
Au  0.0000  0.0000  0.0000 (multiplicity 1)  8 F 3.10, 4 N 3.33
I  0.5000  0.5000  0.5000 (multiplicity 1)  2 N 2.01
N  0.5000  0.5000  0.0000 (multiplicity 1)  2 I 2.01
F  0.0000  0.5000  0.5000 (multiplicity 2)  2 I 2.35

Properties
- raw formation energy (eV per atom) = 0.51
- energy above the most stable polymorph in this dataset (eV/f.u.) = 0.25
- VASP energy (eV/atom) = -2.87
- Fermi-level density of states (states/eV/cell) = 1.72

(2)
DFT (PBE) results for Eu2AlGa after structural relaxation.

abc: 3.7679 3.7679 7.5636
angles: 90.00 90.00 90.00
Closest atoms and distances in Å follow each position.
Space group P4/mmm (No. 123)
One atom of each set of equivalent atoms:
Eu  0.0000  0.0000  0.2453 (multiplicity 2)  4 Ga 3.25, 4 Al 3.29
Al  0.5000  0.5000  0.5000 (multiplicity 1)  8 Eu 3.29
Ga  0.5000  0.5000  0.0000 (multiplicity 1)  8 Eu 3.25

Properties
- calculated formation energy (kJ/mol of formula units) = -127
- VASP energy (eV/atom) = -7.16
- Fermi-level density of states (states/eV/cell) = 11.01

(3)
DFT (PBE) results for SmEuErAl after structural relaxation.

abc: 7.6733 7.6733 7.6733
angles: 90.00 90.00 90.00
Closest atoms and distances in Å follow each position.
Space group F-43m (No. 216)
One atom of each set of equivalent atoms:
Sm  0.0000  0.0000  0.0000 (multiplicity 4)  4 Al 3.32, 4 Eu 3.32
Eu  0.2500  0.2500  0.2500 (multiplicity 4)  4 Sm 3.32, 4 Er 3.32
Er  0.0000  0.0000  0.5000 (multiplicity 4)  4 Eu 3.32, 4 Al 3.32
Al  0.2500  0.2500  0.7500 (multiplicity 4)  4 Er 3.32, 4 Sm 3.32

Properties
- calculated formation energy (kJ/mol of formula units) = -11
- VASP energy (eV/atom) = -5.85
- Fermi-level density of states (states/eV/cell) = 18.54

(4)
DFT (PBE) results for InSiPb3 after structural relaxation.

abc: 5.4677 5.4677 5.4677
angles: 90.00 90.00 90.00
Closest atoms and distances in Å follow each position.
Space group Pm-3m (No. 221)
One atom of each set of equivalent atoms:
In  0.0000  0.0000  0.0000 (multiplicity 1)  12 Pb 3.87
Si  0.5000  0.5000  0.5000 (multiplicity 1)  6 Pb 2.73
Pb  0.0000  0.5000  0.5000 (multiplicity 3)  2 Si 2.73

Properties
- raw formation energy (eV per atom) = 0.46
- energy above the most stable polymorph in this dataset (eV/f.u.) = 0.00
- VASP energy (eV/atom) = -3.40
- Fermi-level density of states (states/eV/cell) = 4.45